(1)
Computed, not measured: LiSn after structural relaxation at the PBE-GGA level of DFT.

Results
Mass density (Mg/m³): 4.56
DFT total energy (eV/atom): -3.0151
Energy of formation from the pure elements (kJ/mol of atoms): -5.5

```
data_LiSn
_chemical_formula_sum 'Li4 Sn4'
_cell_length_a 5.540
_cell_length_b 5.540
_cell_length_c 5.964
_cell_angle_alpha 90.00
_cell_angle_beta 90.00
_cell_angle_gamma 90.00
_symmetry_space_group_name_H-M 'P 42/m n m'
_symmetry_Int_Tables_number 136
_symmetry_space_group_name_Hall '-P 4n 2n'
loop_
_atom_site_label
_atom_site_fract_x
_atom_site_fract_y
_atom_site_fract_z
_atom_site_occupancy
Li1 0.181 0.181 0.000 1
Sn1 0.185 0.185 0.500 1
```



(2)
Computed, not measured: NaYPaS4 after structural relaxation at the PBE-GGA level of DFT.

Results
E_form (uncorrected) (meV per atom): -1713
Mass density (Mg/m³): 4.06
DFT total energy (eV/atom): -6.5397

```
data_NaYPaS4
_chemical_formula_sum 'Na4 Y4 Pa4 S16'
_cell_length_a 8.112
_cell_length_b 8.231
_cell_length_c 11.558
_cell_angle_alpha 90.00
_cell_angle_beta 90.00
_cell_angle_gamma 90.00
_symmetry_space_group_name_H-M 'I m m a'
_symmetry_Int_Tables_number 74
_symmetry_space_group_name_Hall '-I 2b 2'
loop_
_atom_site_label
_atom_site_fract_x
_atom_site_fract_y
_atom_site_fract_z
_atom_site_occupancy
Na1 0.000 0.250 0.130 1
Y1 0.250 0.250 0.750 1
Pa1 0.000 0.000 0.500 1
S1 0.000 0.024 0.734 1
S2 0.224 0.250 0.511 1
```



(3)
Computed, not measured: Ac2Co3Ge4Ir after structural relaxation at the PBE-GGA level of DFT.

Results
Mass density (Mg/m³): 10.07
DFT total energy (eV/atom): -6.2164
Energy of formation from the pure elements (kJ/mol of atoms): -51.1

```
data_Ac2Co3Ge4Ir
_chemical_formula_sum 'Ac2 Co3 Ge4 Ir1'
_cell_length_a 4.251
_cell_length_b 4.251
_cell_length_c 10.168
_cell_angle_alpha 90.00
_cell_angle_beta 90.00
_cell_angle_gamma 90.00
_symmetry_space_group_name_H-M 'P -4 m 2'
_symmetry_Int_Tables_number 115
_symmetry_space_group_name_Hall 'P -4 -2'
loop_
_atom_site_label
_atom_site_fract_x
_atom_site_fract_y
_atom_site_fract_z
_atom_site_occupancy
Ac1 0.000 0.500 0.244 1
Co1 0.000 0.500 0.877 1
Co2 0.500 0.500 0.500 1
Ge1 0.000 0.000 0.000 1
Ge2 0.000 0.500 0.630 1
Ge3 0.500 0.500 0.000 1
Ir1 0.000 0.000 0.500 1
```



(4)
Computed, not measured: CuHgSI after structural relaxation at the PBE-GGA level of DFT.

Results
E_form (uncorrected) (meV per atom): -130
Mass density (Mg/m³): 6.50
DFT total energy (eV/atom): -2.6487
ΔE to the lowest computed polymorph (meV per atom): 72

```
data_CuHgSI
_chemical_formula_sum 'Cu1 Hg1 S1 I1'
_cell_length_a 4.290
_cell_length_b 4.292
_cell_length_c 7.196
_cell_angle_alpha 72.98
_cell_angle_beta 72.81
_cell_angle_gamma 60.07
_symmetry_space_group_name_H-M 'P 1'
_symmetry_Int_Tables_number 1
_symmetry_space_group_name_Hall 'P 1'
loop_
_atom_site_label
_atom_site_fract_x
_atom_site_fract_y
_atom_site_fract_z
_atom_site_occupancy
Cu1 0.000 0.000 0.000 1
Hg1 0.193 0.195 0.423 1
S1 0.889 0.890 0.335 1
I1 0.384 0.382 0.850 1
```



(5)
Computed, not measured: KFeNi after structural relaxation at the PBE-GGA level of DFT.

Results
Mass density (Mg/m³): 3.59
DFT total energy (eV/atom): -4.3275
Energy of formation from the pure elements (kJ/mol of atoms): 75.9
ΔE to the lowest computed polymorph (meV per atom): 136

```
data_KFeNi
_chemical_formula_sum 'K1 Fe1 Ni1'
_cell_length_a 3.8589
_cell_length_b 3.8589
_cell_length_c 5.5118
_cell_angle_alpha 90.00
_cell_angle_beta 90.00
_cell_angle_gamma 120.00
_symmetry_space_group_name_H-M 'P -6 m 2'
_symmetry_Int_Tables_number 187
_symmetry_space_group_name_Hall 'P -6 2'
loop_
_atom_site_label
_atom_site_fract_x
_atom_site_fract_y
_atom_site_fract_z
_atom_site_occupancy
K1 0.0000 0.0000 0.0000 1
Fe1 0.6667 0.3333 0.5000 1
Ni1 0.3333 0.6667 0.5000 1
```



(6)
Computed, not measured: Pr7Ga2Hg2 after structural relaxation at the PBE-GGA level of DFT.

Results
Mass density (Mg/m³): 7.17
DFT total energy (eV/atom): -3.7752
Energy of formation from the pure elements (kJ/mol of atoms): -12.4

```
data_Pr7Ga2Hg2
_chemical_formula_sum 'Pr14 Ga4 Hg4'
_cell_length_a 7.806
_cell_length_b 11.064
_cell_length_c 8.184
_cell_angle_alpha 90.00
_cell_angle_beta 90.00
_cell_angle_gamma 90.00
_symmetry_space_group_name_H-M 'C m m m'
_symmetry_Int_Tables_number 65
_symmetry_space_group_name_Hall '-C 2 2'
loop_
_atom_site_label
_atom_site_fract_x
_atom_site_fract_y
_atom_site_fract_z
_atom_site_occupancy
Pr1 0.000 0.000 0.000 1
Pr2 0.000 0.500 0.279 1
Pr3 0.250 0.250 0.297 1
Ga1 0.164 0.000 0.500 1
Hg1 0.000 0.294 0.000 1
```



(7)
Computed, not measured: ScBeNF2 after structural relaxation at the PBE-GGA level of DFT.

Results
E_form (uncorrected) (meV per atom): -1302
Mass density (Mg/m³): 2.58
DFT total energy (eV/atom): -5.7268
ΔE to the lowest computed polymorph (meV per atom): 858

```
data_ScBeNF2
_chemical_formula_sum 'Sc1 Be1 N1 F2'
_cell_length_a 3.921
_cell_length_b 3.921
_cell_length_c 4.434
_cell_angle_alpha 90.00
_cell_angle_beta 90.00
_cell_angle_gamma 90.00
_symmetry_space_group_name_H-M 'P 4/m m m'
_symmetry_Int_Tables_number 123
_symmetry_space_group_name_Hall '-P 4 2'
loop_
_atom_site_label
_atom_site_fract_x
_atom_site_fract_y
_atom_site_fract_z
_atom_site_occupancy
Sc1 0.000 0.000 0.000 1
Be1 0.500 0.500 0.500 1
N1 0.000 0.000 0.500 1
F1 0.000 0.500 0.000 1
```



(8)
Computed, not measured: MoPbSe2 after structural relaxation at the PBE-GGA level of DFT.

Results
E_form (uncorrected) (meV per atom): 773
Mass density (Mg/m³): 8.58
DFT total energy (eV/atom): -4.6040

```
data_MoPbSe2
_chemical_formula_sum 'Mo4 Pb4 Se8'
_cell_length_a 7.093
_cell_length_b 7.093
_cell_length_c 7.093
_cell_angle_alpha 90.00
_cell_angle_beta 90.00
_cell_angle_gamma 90.00
_symmetry_space_group_name_H-M 'F -4 3 m'
_symmetry_Int_Tables_number 216
_symmetry_space_group_name_Hall 'F -4 2 3'
loop_
_atom_site_label
_atom_site_fract_x
_atom_site_fract_y
_atom_site_fract_z
_atom_site_occupancy
Mo1 0.000 0.000 0.000 1
Pb1 0.250 0.250 0.750 1
Se1 0.000 0.000 0.500 1
Se2 0.250 0.250 0.250 1
```